Entry 1:
SiPdBr2: optimized geometry, GGA-PBE.

Values from the calculation:
Formation energy without anion corrections in meV per atom: 249
Calculated volume in Å³ per atom: 25.37
Mass density in g/cm³: 4.8
Energy in eV per atom: -3.24
M_tot in μB/atom: 0.000

Unit cell a=3.6987 b=3.6987 c=25.6914 alpha=90.00 beta=90.00 gamma=120.00
Space group R-3m (No. 166, hexagonal axes)
Symmetry-distinct sites (fractional):
Si (0.0000, 0.0000, 0.0000) [3 per cell]
Pd (0.0000, 0.0000, 0.5000) [3 per cell]
Br (0.0000, 0.0000, 0.4042) [6 per cell]

Entry 2:
SiPdBr2: optimized geometry, GGA-PBE.

Values from the calculation:
Formation energy without anion corrections in meV per atom: 279
Calculated volume in Å³ per atom: 25.13
Mass density in g/cm³: 4.9
Energy in eV per atom: -3.21
M_tot in μB/atom: 0.000

Unit cell a=4.991 b=4.991 c=16.141 alpha=90.00 beta=90.00 gamma=90.00
Space group I-42d (No. 122)
Symmetry-distinct sites (fractional):
Si (0.000, 0.000, 0.000) [4 per cell]
Pd (0.000, 0.000, 0.500) [4 per cell]
Br (0.246, 0.250, 0.625) [8 per cell]

Entry 3:
SiPdBr2: optimized geometry, GGA-PBE.

Values from the calculation:
Formation energy without anion corrections in meV per atom: 334
Calculated volume in Å³ per atom: 20.53
Mass density in g/cm³: 6.0
Energy in eV per atom: -3.16
M_tot in μB/atom: 0.000

Unit cell a=6.900 b=6.900 c=6.900 alpha=90.00 beta=90.00 gamma=90.00
Space group Fm-3m (No. 225)
Symmetry-distinct sites (fractional):
Si (0.000, 0.000, 0.000) [4 per cell]
Pd (0.000, 0.000, 0.500) [4 per cell]
Br (0.250, 0.250, 0.250) [8 per cell]

Entry 4:
Sm6Si2PdBr3: optimized geometry, GGA-PBE.

Values from the calculation:
Formation energy without anion corrections in meV per atom: -1012
Calculated volume in Å³ per atom: 27.86
Mass density in g/cm³: 6.5
Energy in eV per atom: -5.13
M_tot in μB/atom: 0.000

Unit cell a=18.834 b=4.157 c=8.819 alpha=90.00 beta=104.48 gamma=90.00
Space group C2/m (No. 12)
Symmetry-distinct sites (fractional):
Sm (0.009, 0.000, 0.226) [4 per cell]
Sm (0.160, 0.500, 0.109) [4 per cell]
Sm (0.176, 0.500, 0.565) [4 per cell]
Si (0.166, 0.000, 0.337) [4 per cell]
Pd (0.000, 0.500, 0.000) [2 per cell]
Br (0.000, 0.500, 0.500) [2 per cell]
Br (0.170, 0.000, 0.833) [4 per cell]